Compound: La4Nd3Er5
Source: Alexandria via LeMat-Bulk
Functional: GGA-PBE
Structure: optimized geometry

a b c (Å): 8.690 8.690 9.542
angles (deg): 115.72 115.72 40.78
Positions (direct):
1 La 0.088 0.088 0.452
2 La 0.213 0.213 0.890
3 La 0.787 0.787 0.110
4 La 0.912 0.912 0.548
5 Nd 0.218 0.218 0.245
6 Nd 0.500 0.500 0.000
7 Nd 0.782 0.782 0.755
8 Er 0.000 0.000 0.000
9 Er 0.332 0.332 0.627
10 Er 0.433 0.433 0.299
11 Er 0.567 0.567 0.701
12 Er 0.668 0.668 0.373

Results
- DOS(E_F): 20.0 states/eV/cell
- Magnetization: 0.01 μB/atom
- E_form: 211 meV per atom